# LaDySc2 (PBE-GGA, optimized geometry)
# Formation enthalpy at 0 K, eV/atom: 0.074
# Excess energy over the best structure of this formula in the dataset, meV/atom: 10
# Electronic total energy, eV per cell: -87.583
# Magnetic moment, μB per cell: 0.021
# Density of states at the Fermi level, states/eV/f.u.: 5.69
data_LaDySc2
_chemical_formula_sum 'La4 Dy4 Sc8'
_cell_length_a 7.766
_cell_length_b 7.766
_cell_length_c 7.766
_cell_angle_alpha 90.00
_cell_angle_beta 90.00
_cell_angle_gamma 90.00
_symmetry_space_group_name_H-M 'F m -3 m'
_symmetry_Int_Tables_number 225
_symmetry_space_group_name_Hall '-F 4 2 3'
loop_
_atom_site_label
_atom_site_fract_x
_atom_site_fract_y
_atom_site_fract_z
La1 0.000 0.000 0.000
Dy1 0.000 0.000 0.500
Sc1 0.250 0.250 0.250